18
Lattice="7.079 -5.971 0.000 7.079 5.971 0.000 -2.808 0.000 7.484" Properties=species:S:1:pos:R:3 comment="PBE BaPd2Br6, relaxed" m_tot_mub_per_cell=0.0 sg="C2/c (15)" e_tot_ev_per_atom=-3.3551 vol_a3_per_atom=35.150 mass_density_g_cm3=4.35 pbc="T T T"
Ba 4.973 4.098 5.613
Ba 6.377 -4.098 1.871
Pd 1.863 0.091 4.896
Pd 3.268 -0.091 1.154
Pd 8.083 0.091 6.330
Pd 9.487 -0.091 2.588
Br -1.141 1.039 7.105
Br 2.639 1.458 2.993
Br 0.263 -1.039 3.363
Br 3.195 1.419 6.477
Br 1.235 -1.458 6.734
Br 6.751 1.419 4.749
Br 4.599 -1.419 2.735
Br 10.116 1.458 0.749
Br 8.156 -1.419 1.007
Br 11.087 1.039 4.120
Br 8.711 -1.458 4.491
Br 12.491 -1.039 0.378